VASP calculation (GGA+U) on a relaxed structure of K2MoPt3O12.

Unit cell a=7.3211 b=7.3211 c=7.3211 alpha=58.50 beta=58.50 gamma=58.50
Closest atoms and distances in Å follow each position.
Element x y z (fractional)
K1 0.1279 0.1279 0.1279  6 O 3.05-3.11
K2 0.8721 0.8721 0.8721  6 O 3.05-3.11
Mo1 0.5000 0.5000 0.5000  6 O 1.93
Pt1 0.0000 0.5000 0.5000  6 O 1.97-1.99
Pt2 0.5000 0.0000 0.5000  6 O 1.97-1.99
Pt3 0.5000 0.5000 0.0000  6 O 1.97-1.99
O1 0.1700 0.1700 0.5758  2 Pt 1.97
O2 0.1700 0.5758 0.1700  2 Pt 1.97
O3 0.1835 0.5682 0.5682  1 Mo 1.93, 1 Pt 1.99
O4 0.4242 0.8300 0.8300  2 Pt 1.97
O5 0.4318 0.4318 0.8165  1 Mo 1.93, 1 Pt 1.99
O6 0.4318 0.8165 0.4318  1 Mo 1.93, 1 Pt 1.99
O7 0.5682 0.1835 0.5682  1 Mo 1.93, 1 Pt 1.99
O8 0.5682 0.5682 0.1835  1 Mo 1.93, 1 Pt 1.99
O9 0.5758 0.1700 0.1700  2 Pt 1.97
O10 0.8165 0.4318 0.4318  1 Mo 1.93, 1 Pt 1.99
O11 0.8300 0.4242 0.8300  2 Pt 1.97
O12 0.8300 0.8300 0.4242  2 Pt 1.97

- Uncorrected energy: -102.46 eV per cell
- Calculated density: 5.9 g/cm3